BeIrPd PBE-GGA optimized geometry; E above lowest polymorph = 0.166 eV/atom; total magnetic moment = 0.0001 μB per atom; space group = P4/nmm, No. 129; total energy = -6.0544 eV per atom
1.0
-0.3439 -1.1303 -3.5013
3.6230 -0.7162 -0.1247
-1.0245 -5.5102 1.8795
Ir Pd Be
2 2 2
Cartesian
0.0000 0.0000 0.0000
1.6396 -0.9232 -1.8130
1.4391 -2.3612 0.6209
-0.8240 -4.0722 -0.5544
1.0476 -4.4666 1.3391
-0.4326 -1.9669 -1.2725

---

Dy2InPb3 PBE-GGA optimized geometry; E above lowest polymorph = 0.188 eV/atom; total magnetic moment = 0.0000 μB per atom; space group = Cmcm, No. 63; total energy = -4.0492 eV per atom
1.0
4.5315 0.0000 0.0000
0.0000 9.4896 0.6113
0.0000 -4.1161 8.5723
Dy In Pb
4 2 6
Cartesian
2.2347 5.2885 4.7590
4.5004 3.8156 2.2418
2.2347 1.5579 6.9418
4.5004 0.0850 4.4246
4.4995 3.2279 5.5166
2.2338 2.1456 3.6670
4.5007 7.0807 3.2501
2.2350 6.0091 1.4187
4.5007 -0.6356 7.7650
2.2350 -1.7072 5.9336
2.2311 4.7683 8.1493
4.4969 0.6052 1.0343

---

Dy3ScIr8 PBE-GGA optimized geometry; total magnetic moment = 0.0000 μB per atom; space group = R3m, No. 160; total energy = -8.3779 eV per atom
1.0
-4.7898 -2.1990 0.8027
-0.3761 -4.8345 2.2153
-2.0720 1.2984 8.8966
Dy Sc Ir
3 1 8
Cartesian
-3.7498 -1.5058 8.9068
-5.1676 -7.0157 3.0566
-3.6176 -2.8818 5.9263
-5.2980 -5.6586 5.9960
-5.0425 -3.9248 3.4082
-3.8760 -4.6114 8.5228
-2.6504 -2.8266 3.0073
-6.2642 -5.7078 8.9230
-1.8749 -0.7530 4.4531
-5.4940 -3.6194 10.4130
-2.8382 -5.2411 4.1137
-6.0767 -3.2973 7.8184

---

BaCoSe PBE-GGA optimized geometry; E above lowest polymorph = 0.000 eV/atom; total magnetic moment = 0.2557 μB per atom; space group = P-6m2, No. 187; total energy = -4.8391 eV per atom; uncorrected formation energy = -193 kJ/mol of formula units
1.0
-3.0278 -0.6333 2.8143
0.0035 -2.1498 -3.5871
2.6187 -3.4144 2.0489
Ba Co Se
1 1 1
Cartesian
0.0008 -0.0010 0.0006
0.3014 -3.3502 -0.4296
-0.7078 -2.8463 1.7051